{"formula": "NaZrCuS3", "functional": "SCAN", "state": "PBEsol geometry", "lattice": [[1.828, -6.422, 0.000], [1.828, 6.422, 0.000], [0.000, 0.000, 9.652]], "species": ["Na", "Na", "Zr", "Zr", "Cu", "Cu", "S", "S", "S", "S", "S", "S"], "frac_coords": [[0.248, 0.752, 0.750], [0.752, 0.248, 0.250], [0.000, 0.000, 0.000], [0.000, 0.000, 0.500], [0.469, 0.531, 0.250], [0.531, 0.469, 0.750], [0.078, 0.922, 0.250], [0.367, 0.633, 0.059], [0.367, 0.633, 0.441], [0.633, 0.367, 0.559], [0.633, 0.367, 0.941], [0.922, 0.078, 0.750]], "magnetic_moment_mub_per_cell": 0.0, "spacegroup": "Cmcm", "volume_a3_per_fu": 113, "e_form_raw_mev_per_atom": -1400, "e_tot_ev_per_atom": -14.566}